a) {
  "formula": "CuSiNiPd",
  "functional": "GGA-PBE",
  "state": "relaxed",
  "lattice": [[0.000, 2.927, 2.927], [2.927, 0.000, 2.927], [2.927, 2.927, 0.000]],
  "species": ["Cu", "Ni", "Pd", "Si"],
  "frac_coords": [[0.750, 0.750, 0.750], [0.250, 0.250, 0.250], [0.500, 0.500, 0.500], [0.000, 0.000, 0.000]],
  "volume_a3_per_atom": 12.54,
  "spacegroup": "F-43m (216)"
}

b) {
  "formula": "CuSiNiPd",
  "functional": "GGA-PBE",
  "state": "relaxed",
  "lattice": [[-1.478, 0.966, 3.744], [-2.878, -2.392, 1.769], [0.977, -2.334, 3.276]],
  "species": ["Cu", "Ni", "Pd", "Si"],
  "frac_coords": [[0.750, 0.750, 0.750], [0.500, 0.500, 0.500], [0.250, 0.250, 0.250], [0.000, 0.000, 0.000]],
  "volume_a3_per_atom": 12.54,
  "spacegroup": "F-43m (216)"
}

Which is less stable than every other structure shown? a) is.